# 1
# Sc6Cd2Ag, optimized geometry, DFT PBE-GGA
data_Sc6Cd2Ag
_cell_length_a 4.778
_cell_length_b 6.804
_cell_length_c 8.292
_cell_angle_alpha 114.22
_cell_angle_beta 106.71
_cell_angle_gamma 90.00
_space_group_name_H-M_alt 'P 1'
_space_group_IT_number 1
loop_
_space_group_symop_operation_xyz
'x,y,z'
loop_
_atom_site_label
_atom_site_type_symbol
_atom_site_fract_x
_atom_site_fract_y
_atom_site_fract_z
Sc1 Sc 0.836 0.590 0.673
Sc2 Sc 0.500 0.757 0.000
Sc3 Sc 0.164 0.410 0.327
Sc4 Sc 0.164 0.918 0.327
Sc5 Sc 0.500 0.243 0.000
Sc6 Sc 0.836 0.082 0.673
Cd1 Cd 0.334 0.333 0.667
Cd2 Cd 0.666 0.667 0.333
Ag1 Ag 0.000 0.000 0.000
# Space group: Immm, No. 71
# Formation enthalpy at 0 K (eV per formula unit): 1.28

=====

# 2
# Ac3Cd9Pd2, optimized geometry, DFT PBE-GGA
data_Ac3Cd9Pd2
_cell_length_a 8.888
_cell_length_b 8.888
_cell_length_c 8.888
_cell_angle_alpha 146.98
_cell_angle_beta 107.73
_cell_angle_gamma 81.78
_space_group_name_H-M_alt 'P 1'
_space_group_IT_number 1
loop_
_space_group_symop_operation_xyz
'x,y,z'
loop_
_atom_site_label
_atom_site_type_symbol
_atom_site_fract_x
_atom_site_fract_y
_atom_site_fract_z
Cd1 Cd 0.411 0.129 0.282
Cd2 Cd 0.008 0.649 0.359
Cd3 Cd 0.290 0.649 0.641
Cd4 Cd 0.992 0.351 0.641
Cd5 Cd 0.847 0.129 0.718
Cd6 Cd 0.153 0.871 0.282
Cd7 Cd 0.589 0.871 0.718
Cd8 Cd 0.710 0.351 0.359
Cd9 Cd 0.500 0.000 0.500
Pd1 Pd 0.660 0.500 0.160
Pd2 Pd 0.340 0.500 0.840
Ac1 Ac 0.000 0.000 0.000
Ac2 Ac 0.697 0.697 0.000
Ac3 Ac 0.303 0.303 0.000
# Space group: Immm, No. 71
# Formation enthalpy at 0 K (eV per formula unit): -5.12

=====

# 3
# VPd6, optimized geometry, DFT PBE-GGA
data_VPd6
_cell_length_a 4.420
_cell_length_b 4.420
_cell_length_c 6.791
_cell_angle_alpha 71.01
_cell_angle_beta 71.01
_cell_angle_gamma 60.00
_space_group_name_H-M_alt 'P 1'
_space_group_IT_number 1
loop_
_space_group_symop_operation_xyz
'x,y,z'
loop_
_atom_site_label
_atom_site_type_symbol
_atom_site_fract_x
_atom_site_fract_y
_atom_site_fract_z
V1 V 0.000 0.000 0.000
Pd1 Pd 0.570 0.570 0.289
Pd2 Pd 0.138 0.138 0.585
Pd3 Pd 0.711 0.711 0.867
Pd4 Pd 0.430 0.430 0.711
Pd5 Pd 0.289 0.289 0.133
Pd6 Pd 0.862 0.862 0.415
# Space group: R-3m, No. 166
# Formation enthalpy at 0 K (eV per formula unit): -0.59

=====

# 4
# MgIn2Ge2Pd5, optimized geometry, DFT PBE-GGA
data_MgIn2Ge2Pd5
_cell_length_a 3.498
_cell_length_b 10.041
_cell_length_c 10.041
_cell_angle_alpha 90.00
_cell_angle_beta 90.00
_cell_angle_gamma 90.00
_space_group_name_H-M_alt 'P 1'
_space_group_IT_number 1
loop_
_space_group_symop_operation_xyz
'x,y,z'
loop_
_atom_site_label
_atom_site_type_symbol
_atom_site_fract_x
_atom_site_fract_y
_atom_site_fract_z
Mg1 Mg 0.000 0.500 0.500
Mg2 Mg 0.000 0.000 0.000
Pd1 Pd 0.500 0.986 0.212
Pd2 Pd 0.500 0.014 0.788
Pd3 Pd 0.500 0.212 0.014
Pd4 Pd 0.500 0.486 0.288
Pd5 Pd 0.500 0.500 0.000
Pd6 Pd 0.500 0.514 0.712
Pd7 Pd 0.500 0.712 0.486
Pd8 Pd 0.500 0.000 0.500
Pd9 Pd 0.500 0.288 0.514
Pd10 Pd 0.500 0.788 0.986
Ge1 Ge 0.000 0.863 0.363
Ge2 Ge 0.000 0.637 0.863
Ge3 Ge 0.000 0.363 0.137
Ge4 Ge 0.000 0.137 0.637
In1 In 0.000 0.674 0.174
In2 In 0.000 0.826 0.674
In3 In 0.000 0.174 0.326
In4 In 0.000 0.326 0.826
# Space group: P4/mbm, No. 127
# Formation enthalpy at 0 K (eV per formula unit): -3.89

=====

# 5
# InMo2Ru, optimized geometry, DFT PBE-GGA
data_InMo2Ru
_cell_length_a 5.075
_cell_length_b 5.075
_cell_length_c 2.840
_cell_angle_alpha 90.00
_cell_angle_beta 90.00
_cell_angle_gamma 116.27
_space_group_name_H-M_alt 'P 1'
_space_group_IT_number 1
loop_
_space_group_symop_operation_xyz
'x,y,z'
loop_
_atom_site_label
_atom_site_type_symbol
_atom_site_fract_x
_atom_site_fract_y
_atom_site_fract_z
Ru1 Ru 0.500 0.000 0.500
Mo1 Mo 0.500 0.500 0.000
Mo2 Mo 0.000 0.000 0.000
In1 In 0.000 0.500 0.500
# Space group: Cmmm, No. 65
# Formation enthalpy at 0 K (eV per formula unit): 1.31

=====

# 6
# PaGaPt2, optimized geometry, DFT PBE-GGA
data_PaGaPt2
_cell_length_a 3.255
_cell_length_b 3.255
_cell_length_c 6.879
_cell_angle_alpha 90.00
_cell_angle_beta 90.00
_cell_angle_gamma 90.00
_space_group_name_H-M_alt 'P 1'
_space_group_IT_number 1
loop_
_space_group_symop_operation_xyz
'x,y,z'
loop_
_atom_site_label
_atom_site_type_symbol
_atom_site_fract_x
_atom_site_fract_y
_atom_site_fract_z
Ga1 Ga 0.500 0.500 0.000
Pt1 Pt 0.000 0.000 0.216
Pt2 Pt 0.000 0.000 0.784
Pa1 Pa 0.500 0.500 0.500
# Space group: P4/mmm, No. 123
# Formation enthalpy at 0 K (eV per formula unit): -3.06

=====

# 7
# TaMn4Os, optimized geometry, DFT PBE-GGA
data_TaMn4Os
_cell_length_a 4.726
_cell_length_b 4.726
_cell_length_c 4.726
_cell_angle_alpha 60.00
_cell_angle_beta 60.00
_cell_angle_gamma 60.00
_space_group_name_H-M_alt 'P 1'
_space_group_IT_number 1
loop_
_space_group_symop_operation_xyz
'x,y,z'
loop_
_atom_site_label
_atom_site_type_symbol
_atom_site_fract_x
_atom_site_fract_y
_atom_site_fract_z
Os1 Os 0.250 0.250 0.250
Mn1 Mn 0.625 0.124 0.625
Mn2 Mn 0.625 0.625 0.124
Mn3 Mn 0.625 0.625 0.625
Mn4 Mn 0.124 0.625 0.625
Ta1 Ta 0.000 0.000 0.000
# Space group: F-43m, No. 216
# Formation enthalpy at 0 K (eV per formula unit): -0.76

=====

# 8
# SrY2Sb, optimized geometry, DFT PBE-GGA
data_SrY2Sb
_cell_length_a 9.384
_cell_length_b 9.384
_cell_length_c 7.451
_cell_angle_alpha 50.97
_cell_angle_beta 50.97
_cell_angle_gamma 90.00
_space_group_name_H-M_alt 'P 1'
_space_group_IT_number 1
loop_
_space_group_symop_operation_xyz
'x,y,z'
loop_
_atom_site_label
_atom_site_type_symbol
_atom_site_fract_x
_atom_site_fract_y
_atom_site_fract_z
Y1 Y 0.059 0.625 0.250
Y2 Y 0.875 0.941 0.750
Y3 Y 0.691 0.125 0.250
Y4 Y 0.375 0.309 0.750
Sr1 Sr 0.500 0.500 0.000
Sr2 Sr 0.250 0.750 0.500
Sb1 Sb 0.000 0.000 0.000
Sb2 Sb 0.750 0.250 0.500
# Formation energy (no corrections) (kJ/mol of atoms): -17
# Space group: I-42d, No. 122

=====

# 9
# HoTiGa2, optimized geometry, DFT PBE-GGA
data_HoTiGa2
_cell_length_a 3.429
_cell_length_b 3.429
_cell_length_c 8.375
_cell_angle_alpha 78.19
_cell_angle_beta 78.19
_cell_angle_gamma 60.00
_space_group_name_H-M_alt 'P 1'
_space_group_IT_number 1
loop_
_space_group_symop_operation_xyz
'x,y,z'
loop_
_atom_site_label
_atom_site_type_symbol
_atom_site_fract_x
_atom_site_fract_y
_atom_site_fract_z
Ga1 Ga 0.258 0.258 0.225
Ga2 Ga 0.742 0.742 0.775
Ti1 Ti 0.000 0.000 0.000
Ho1 Ho 0.500 0.500 0.500
# Space group: R-3m, No. 166
# Polymorph energy (0 for the lowest one) (eV per atom): 0.188
# Formation enthalpy at 0 K (eV per formula unit): -0.97

=====

# 10
# Ca2TlGeRh, optimized geometry, DFT PBE-GGA
data_Ca2TlGeRh
_cell_length_a 5.489
_cell_length_b 5.489
_cell_length_c 4.722
_cell_angle_alpha 90.00
_cell_angle_beta 90.00
_cell_angle_gamma 90.00
_space_group_name_H-M_alt 'P 1'
_space_group_IT_number 1
loop_
_space_group_symop_operation_xyz
'x,y,z'
loop_
_atom_site_label
_atom_site_type_symbol
_atom_site_fract_x
_atom_site_fract_y
_atom_site_fract_z
Ge1 Ge 0.000 0.000 0.500
Tl1 Tl 0.500 0.500 0.500
Ca1 Ca 0.000 0.500 0.000
Ca2 Ca 0.500 0.000 0.000
Rh1 Rh 0.000 0.000 0.000
# Space group: P4/mmm, No. 123
# Formation enthalpy at 0 K (eV per formula unit): -1.95

=====

# 11
# Cr3CuBr, optimized geometry, DFT PBE-GGA
data_Cr3CuBr
_cell_length_a 4.809
_cell_length_b 4.809
_cell_length_c 4.809
_cell_angle_alpha 90.00
_cell_angle_beta 90.00
_cell_angle_gamma 90.00
_space_group_name_H-M_alt 'P 1'
_space_group_IT_number 1
loop_
_space_group_symop_operation_xyz
'x,y,z'
loop_
_atom_site_label
_atom_site_type_symbol
_atom_site_fract_x
_atom_site_fract_y
_atom_site_fract_z
Cu1 Cu 0.000 0.000 0.000
Cr1 Cr 0.000 0.500 0.000
Cr2 Cr 0.000 0.000 0.500
Cr3 Cr 0.500 0.000 0.000
Br1 Br 0.500 0.500 0.500
# Formation energy (no corrections) (kJ/mol of atoms): 111
# Space group: Pm-3m, No. 221
# Polymorph energy (0 for the lowest one) (eV per atom): 0.000

=====

# 12
# Nb4Si6Ni5, optimized geometry, DFT PBE-GGA
data_Nb4Si6Ni5
_cell_length_a 3.683
_cell_length_b 8.780
_cell_length_c 13.357
_cell_angle_alpha 90.00
_cell_angle_beta 90.00
_cell_angle_gamma 102.11
_space_group_name_H-M_alt 'P 1'
_space_group_IT_number 1
loop_
_space_group_symop_operation_xyz
'x,y,z'
loop_
_atom_site_label
_atom_site_type_symbol
_atom_site_fract_x
_atom_site_fract_y
_atom_site_fract_z
Ni1 Ni 0.148 0.296 0.628
Ni2 Ni 0.558 0.116 0.179
Ni3 Ni 0.341 0.682 0.272
Ni4 Ni 0.696 0.392 0.116
Ni5 Ni 0.641 0.282 0.481
Ni6 Ni 0.304 0.608 0.616
Ni7 Ni 0.852 0.704 0.128
Ni8 Ni 0.359 0.718 0.981
Ni9 Ni 0.659 0.318 0.772
Ni10 Ni 0.442 0.884 0.679
Si1 Si 0.422 0.845 0.415
Si2 Si 0.556 0.112 0.354
Si3 Si 0.216 0.433 0.488
Si4 Si 0.766 0.533 0.256
Si5 Si 0.444 0.888 0.854
Si6 Si 0.116 0.232 0.112
Si7 Si 0.884 0.768 0.612
Si8 Si 0.429 0.858 0.133
Si9 Si 0.234 0.467 0.756
Si10 Si 0.578 0.155 0.915
Si11 Si 0.784 0.567 0.988
Si12 Si 0.571 0.142 0.633
Nb1 Nb 0.837 0.673 0.804
Nb2 Nb 0.964 0.928 0.274
Nb3 Nb 0.988 0.977 0.004
Nb4 Nb 0.185 0.370 0.938
Nb5 Nb 0.163 0.327 0.304
Nb6 Nb 0.036 0.072 0.774
Nb7 Nb 0.815 0.630 0.438
Nb8 Nb 0.012 0.023 0.504
# Formation energy (no corrections) (kJ/mol of atoms): -52
# Space group: Cmc2_1, No. 36

=====

Number 8 is which compound? SrY2Sb

=====

Copy entry 9 word for word.
# HoTiGa2, optimized geometry, DFT PBE-GGA
data_HoTiGa2
_cell_length_a 3.429
_cell_length_b 3.429
_cell_length_c 8.375
_cell_angle_alpha 78.19
_cell_angle_beta 78.19
_cell_angle_gamma 60.00
_space_group_name_H-M_alt 'P 1'
_space_group_IT_number 1
loop_
_space_group_symop_operation_xyz
'x,y,z'
loop_
_atom_site_label
_atom_site_type_symbol
_atom_site_fract_x
_atom_site_fract_y
_atom_site_fract_z
Ga1 Ga 0.258 0.258 0.225
Ga2 Ga 0.742 0.742 0.775
Ti1 Ti 0.000 0.000 0.000
Ho1 Ho 0.500 0.500 0.500
# Space group: R-3m, No. 166
# Polymorph energy (0 for the lowest one) (eV per atom): 0.188
# Formation enthalpy at 0 K (eV per formula unit): -0.97